P | ## NpTc2W (GGA-PBE)

Data for a geometry-optimized NpTc2W structure.

Lattice parameters (Å, degrees): 4.5841 4.5841 4.5841 60.00 60.00 60.00
With the nearest neighbours (Å) after each atom.
Fractional coordinates of all 4 atoms:
Np 0.5000 0.5000 0.5000  8 Tc 2.81
Tc 0.2500 0.2500 0.2500  4 Np 2.81, 4 W 2.81
Tc 0.7500 0.7500 0.7500  4 W 2.81, 4 Np 2.81
W 0.0000 0.0000 0.0000  8 Tc 2.81

Properties
V   68 Å³/f.u.
Space-group type   Fm-3m, No. 225

***

Q | ## NpTc2W (GGA-PBE)

Data for a geometry-optimized NpTc2W structure.

Lattice parameters (Å, degrees): 3.1110 3.1110 7.0321 90.00 90.00 90.00
With the nearest neighbours (Å) after each atom.
Fractional coordinates of all 4 atoms:
Np 0.5000 0.5000 0.0000  8 Tc 2.94, 4 Np 3.11
Tc 0.0000 0.0000 0.7217  4 W 2.70, 4 Np 2.94
Tc 0.0000 0.0000 0.2783  4 W 2.70, 4 Np 2.94
W 0.5000 0.5000 0.5000  8 Tc 2.70

Properties
V   68 Å³/f.u.
Space-group type   P4/mmm, No. 123

***

Stability summary: most stable Q, least stable P.